DFT (PBE-GGA) results for an optimized crystal structure of BeB2H.

Lattice parameters (Å, degrees): 3.176 3.176 11.016 90.00 90.00 90.00
Space group I4_1/amd (No. 141, origin choice 2)
Unique sites:
Be1 0.000 0.250 0.375
B1 0.000 0.000 0.000
H1 0.000 0.250 0.875

Output
DOS(E_F): 1.0 states/eV/f.u.
Crystal system: tetragonal
V: 27.8 Å³/f.u.
Relative energy among the computed polymorphs: 0.0 meV per atom